Computed, not measured: a relaxed structure of SrLa2Tl at the PBE level of DFT.

abc: 5.086 5.086 10.749
angles: 90.00 90.00 90.00
Atoms (fractional coordinates):
Sr 0.000 0.000 0.000
Sr 0.500 0.500 0.500
La 0.000 0.000 0.500
La 0.000 0.500 0.250
La 0.500 0.000 0.750
La 0.500 0.500 0.000
Tl 0.000 0.500 0.750
Tl 0.500 0.000 0.250

E_form ... -0.087 eV per atom
Distance to the lowest polymorph of the same formula ... 90 meV per atom
VASP energy ... -3.563 eV/atom
Density ... 6.81 g/cm³
Volume ... 34.76 Å³/atom